(1)
The following is a DFT calculation (GGA-PBEsol) of crystalline CsSn2Ir2 at its relaxed geometry.

- mass density (Mg/m³) = 9.25
- magnetic moment (μB/atom) = 0.000
- Fermi-level density of states (states/eV per cell) = 2.5
- formation energy (eV per atom) = -0.06

Cell lengths 9.064, 9.064, 9.064 Å; angles 154.73, 154.73, 36.04 degrees
Fractional positions:
1 Cs 0.000 0.000 0.000
2 Sn 0.351 0.351 0.000
3 Sn 0.649 0.649 0.000
4 Ir 0.250 0.750 0.500
5 Ir 0.750 0.250 0.500

---

(2)
The following is a DFT calculation (GGA-PBEsol) of crystalline KPb3 at its relaxed geometry.

- mass density (Mg/m³) = 8.27
- magnetic moment (μB/atom) = 0.000
- Fermi-level density of states (states/eV per cell) = 1.7
- formation energy (eV per atom) = -0.07

Cell lengths 3.523, 5.641, 6.674 Å; angles 90.00, 90.00, 90.00 degrees
Fractional positions:
1 K 0.000 0.000 0.000
2 Pb 0.000 0.500 0.356
3 Pb 0.500 0.000 0.501
4 Pb 0.500 0.500 0.760

---

(3)
The following is a DFT calculation (GGA-PBEsol) of crystalline LaScCd at its relaxed geometry.

- mass density (Mg/m³) = 6.26
- magnetic moment (μB/atom) = 0.206
- Fermi-level density of states (states/eV per cell) = 3.7
- E above lowest polymorph (eV per atom) = 0.000
- formation energy (eV per atom) = -0.17

Cell lengths 6.926, 6.926, 6.926 Å; angles 150.86, 150.86, 41.68 degrees
Fractional positions:
1 La 0.000 0.000 0.000
2 Sc 0.687 0.687 0.000
3 Cd 0.319 0.319 0.000

---

(4)
The following is a DFT calculation (GGA-PBEsol) of crystalline TaFePt2 at its relaxed geometry.

- mass density (Mg/m³) = 17.86
- magnetic moment (μB/atom) = 0.650
- Fermi-level density of states (states/eV per cell) = 1.9
- E above lowest polymorph (eV per atom) = 0.080
- formation energy (eV per atom) = -0.49

Cell lengths 2.749, 3.901, 5.436 Å; angles 90.00, 90.00, 90.00 degrees
Fractional positions:
1 Ta 0.000 0.000 0.000
2 Fe 0.000 0.000 0.500
3 Pt 0.500 0.500 0.258
4 Pt 0.500 0.500 0.742

---

(5)
The following is a DFT calculation (GGA-PBEsol) of crystalline LiCa2Zn2 at its relaxed geometry.

- mass density (Mg/m³) = 2.93
- magnetic moment (μB/atom) = 0.000
- Fermi-level density of states (states/eV per cell) = 7.5
- E above lowest polymorph (eV per atom) = 0.000
- formation energy (eV per atom) = -0.15

Cell lengths 7.584, 7.584, 4.295 Å; angles 90.00, 90.00, 90.00 degrees
Fractional positions:
1 Li 0.000 0.000 0.000
2 Li 0.500 0.500 0.000
3 Ca 0.175 0.325 0.500
4 Ca 0.325 0.825 0.500
5 Ca 0.675 0.175 0.500
6 Ca 0.825 0.675 0.500
7 Zn 0.120 0.620 0.000
8 Zn 0.380 0.120 0.000
9 Zn 0.620 0.880 0.000
10 Zn 0.880 0.380 0.000

---

(6)
The following is a DFT calculation (GGA-PBEsol) of crystalline CaCoAu2 at its relaxed geometry.

- mass density (Mg/m³) = 11.49
- magnetic moment (μB/atom) = 0.461
- Fermi-level density of states (states/eV per cell) = 4.2
- E above lowest polymorph (eV per atom) = 0.000
- formation energy (eV per atom) = -0.12

Cell lengths 3.256, 3.256, 6.723 Å; angles 90.00, 90.00, 90.00 degrees
Fractional positions:
1 Ca 0.000 0.000 0.000
2 Co 0.000 0.000 0.500
3 Au 0.500 0.500 0.295
4 Au 0.500 0.500 0.705

---

(7)
The following is a DFT calculation (GGA-PBEsol) of crystalline ScFe2Pd2 at its relaxed geometry.

- mass density (Mg/m³) = 8.07
- magnetic moment (μB/atom) = 1.087
- Fermi-level density of states (states/eV per cell) = 3.6
- formation energy (eV per atom) = -0.14

Cell lengths 7.028, 7.028, 7.028 Å; angles 152.06, 152.06, 39.93 degrees
Fractional positions:
1 Sc 0.000 0.000 0.000
2 Fe 0.250 0.750 0.500
3 Fe 0.750 0.250 0.500
4 Pd 0.398 0.398 0.000
5 Pd 0.602 0.602 0.000

---

(8)
The following is a DFT calculation (GGA-PBEsol) of crystalline LiCaMn2 at its relaxed geometry.

- mass density (Mg/m³) = 3.51
- magnetic moment (μB/atom) = 1.803
- Fermi-level density of states (states/eV per cell) = 5.3
- E above lowest polymorph (eV per atom) = 0.033
- formation energy (eV per atom) = 0.73

Cell lengths 5.405, 5.405, 5.405 Å; angles 136.33, 136.33, 63.46 degrees
Fractional positions:
1 Li 0.000 0.000 0.000
2 Ca 0.500 0.500 0.000
3 Mn 0.250 0.750 0.500
4 Mn 0.750 0.250 0.500